No. 1
DFT (PBE) results for a relaxed structure of NaAlN3.

Summary:
For the uncorrected formation energy, the calculation gives 0.84 eV/atom. Its space group is Pm-3m (221). The value obtained for the total magnetization is 0.0 μB per cell.

Unit cell a=3.791 b=3.791 c=3.791 alpha=90.00 beta=90.00 gamma=90.00
Sites, in units of the cell vectors:
N 0.500 0.000 0.000
N 0.000 0.000 0.500
N 0.000 0.500 0.000
Na 0.500 0.500 0.500
Al 0.000 0.000 0.000

No. 2
DFT (PBE) results for a relaxed structure of NaAlN2.

Summary:
For the uncorrected formation energy, the calculation gives -0.07 eV/atom. Its space group is I-42d (122). The value obtained for the total magnetization is 0.0 μB per cell.

Unit cell a=4.481 b=4.481 c=6.424 alpha=69.59 beta=69.59 gamma=90.00
Sites, in units of the cell vectors:
N 0.875 0.045 0.750
N 0.795 0.125 0.250
N 0.375 0.205 0.750
N 0.955 0.625 0.250
Na 0.250 0.750 0.500
Na 0.500 0.500 0.000
Al 0.000 0.000 0.000
Al 0.750 0.250 0.500

No. 3
DFT (PBE) results for a relaxed structure of NaAlN2.

Summary:
For the uncorrected formation energy, the calculation gives 0.88 eV/atom. Its space group is R-3m (166). The value obtained for the total magnetization is 2.0 μB per cell.

Unit cell a=7.019 b=7.019 c=7.019 alpha=27.18 beta=27.18 gamma=27.18
Last column: magnetic moment on the atom in μB.
Sites, in units of the cell vectors:
N 0.088 0.088 0.088  0.72
N 0.912 0.912 0.912  0.72
Na 0.500 0.500 0.500  0.00
Al 0.000 0.000 0.000  -0.02

No. 4
DFT (PBE) results for a relaxed structure of NaAl3N.

Summary:
For the uncorrected formation energy, the calculation gives 0.30 eV/atom. Its space group is Pm-3m (221). The value obtained for the total magnetization is 0.0 μB per cell. The value obtained for the energy above the most stable polymorph in this dataset is 0.000 eV per atom.

Unit cell a=4.289 b=4.289 c=4.289 alpha=90.00 beta=90.00 gamma=90.00
Sites, in units of the cell vectors:
Al 0.000 0.500 0.000
Al 0.000 0.000 0.500
Al 0.500 0.000 0.000
N 0.000 0.000 0.000
Na 0.500 0.500 0.500

No. 5
DFT (PBE) results for a relaxed structure of NaAlNO2.

Summary:
For the uncorrected formation energy, the calculation gives 1.04 eV/atom. Its space group is P4/mmm (123). The value obtained for the total magnetization is 3.4 μB per cell.

Unit cell a=3.997 b=3.997 c=4.112 alpha=90.00 beta=90.00 gamma=90.00
Last column: magnetic moment on the atom in μB.
Sites, in units of the cell vectors:
O 0.000 0.500 0.000  0.76
O 0.500 0.000 0.000  0.76
Al 0.500 0.500 0.500  -0.07
N 0.000 0.000 0.500  1.25
Na 0.000 0.000 0.000  0.03

No. 6
DFT (PBE) results for a relaxed structure of NaAlNO2.

Summary:
For the uncorrected formation energy, the calculation gives -0.88 eV/atom. Its space group is P4/mmm (123). The value obtained for the total magnetization is 3.0 μB per cell.

Unit cell a=3.751 b=3.751 c=3.970 alpha=90.00 beta=90.00 gamma=90.00
Last column: magnetic moment on the atom in μB.
Sites, in units of the cell vectors:
O 0.500 0.000 0.000  0.55
O 0.000 0.500 0.000  0.55
N 0.000 0.000 0.500  1.18
Na 0.500 0.500 0.500  0.00
Al 0.000 0.000 0.000  -0.02

No. 7
DFT (PBE) results for a relaxed structure of Na3Pa2AlN6.

Summary:
For the uncorrected formation energy, the calculation gives -0.75 eV/atom. Its space group is C2/m (12). The value obtained for the total magnetization is 0.0 μB per cell.

Unit cell a=5.740 b=5.740 c=6.140 alpha=100.48 beta=100.48 gamma=117.08
Sites, in units of the cell vectors:
Na 0.842 0.158 0.500
Na 0.500 0.500 0.500
Na 0.158 0.842 0.500
N 0.369 0.056 0.190
N 0.631 0.944 0.810
N 0.272 0.272 0.808
N 0.056 0.369 0.190
N 0.944 0.631 0.810
N 0.728 0.728 0.192
Pa 0.670 0.330 0.000
Pa 0.330 0.670 0.000
Al 0.000 0.000 0.000

No. 8
DFT (PBE) results for a relaxed structure of Na4Pa3AlN8.

Summary:
For the uncorrected formation energy, the calculation gives -0.84 eV/atom. Its space group is C2/m (12). The value obtained for the total magnetization is 0.0 μB per cell.

Unit cell a=6.683 b=6.898 c=6.991 alpha=119.17 beta=118.55 gamma=90.00
Sites, in units of the cell vectors:
N 0.747 0.678 0.963
N 0.251 0.710 0.503
N 0.749 0.290 0.497
N 0.784 0.322 0.037
N 0.270 0.307 0.541
N 0.730 0.693 0.459
N 0.216 0.678 0.963
N 0.253 0.322 0.037
Pa 0.000 0.500 0.500
Pa 0.500 0.500 0.500
Pa 0.500 0.500 0.000
Na 0.000 0.000 0.500
Na 0.500 0.000 0.500
Na 0.500 0.000 0.000
Na 0.000 0.000 0.000
Al 0.000 0.500 0.000

No. 9
DFT (PBE) results for a relaxed structure of NaAl2PtN.

Summary:
For the uncorrected formation energy, the calculation gives 0.68 eV/atom. Its space group is P4/mmm (123). The value obtained for the total magnetization is 2.0 μB per cell.

Unit cell a=4.721 b=5.543 c=4.721 alpha=90.00 beta=90.00 gamma=90.00
Last column: magnetic moment on the atom in μB.
Sites, in units of the cell vectors:
Al 0.500 0.000 0.000  0.01
Al 0.000 0.000 0.500  0.00
N 0.500 0.500 0.500  1.44
Pt 0.000 0.000 0.000  0.02
Na 0.000 0.500 0.000  -0.01

No. 10
DFT (PBE) results for a relaxed structure of Na4Pu3AlN8.

Summary:
For the uncorrected formation energy, the calculation gives -0.64 eV/atom. Its space group is C2/m (12). The value obtained for the total magnetization is 7.0 μB per cell.

Unit cell a=6.675 b=6.833 c=6.681 alpha=119.26 beta=119.97 gamma=90.00
Last column: magnetic moment on the atom in μB.
Sites, in units of the cell vectors:
Na 0.500 0.000 0.000  0.00
Na 0.500 0.000 0.500  0.00
Na 0.000 0.000 0.000  0.00
Na 0.000 0.000 0.500  0.00
N 0.227 0.683 0.956  -0.20
N 0.228 0.684 0.457  -0.20
N 0.272 0.317 0.044  -0.20
N 0.772 0.316 0.543  -0.20
N 0.271 0.313 0.542  -0.20
N 0.773 0.317 0.044  -0.20
N 0.728 0.683 0.956  -0.20
N 0.729 0.687 0.458  -0.20
Pu 0.500 0.500 0.500  2.98
Pu 0.500 0.500 0.000  2.98
Pu 0.000 0.500 0.500  2.98
Al 0.000 0.500 0.000  0.00

No. 11
DFT (PBE) results for a relaxed structure of NaAlSe2N.

Summary:
For the uncorrected formation energy, the calculation gives -0.08 eV/atom. Its space group is P4/mmm (123). The value obtained for the total magnetization is 1.3 μB per cell. The value obtained for the energy above the most stable polymorph in this dataset is 0.000 eV per atom.

Unit cell a=5.331 b=5.331 c=3.544 alpha=90.00 beta=90.00 gamma=90.00
Last column: magnetic moment on the atom in μB.
Sites, in units of the cell vectors:
Na 0.500 0.500 0.500  0.00
N 0.000 0.000 0.500  0.55
Al 0.000 0.000 0.000  -0.01
Se 0.000 0.500 0.000  0.18
Se 0.500 0.000 0.000  0.18

No. 12
DFT (PBE) results for a relaxed structure of NaAlSe2N.

Summary:
For the uncorrected formation energy, the calculation gives 1.18 eV/atom. Its space group is P4/mmm (123). The value obtained for the total magnetization is 3.3 μB per cell. The value obtained for the energy above the most stable polymorph in this dataset is 1.260 eV per atom.

Unit cell a=5.238 b=5.238 c=4.265 alpha=90.00 beta=90.00 gamma=90.00
Last column: magnetic moment on the atom in μB.
Sites, in units of the cell vectors:
Na 0.000 0.000 0.000  0.02
Se 0.500 0.000 0.000  0.27
Se 0.000 0.500 0.000  0.27
Al 0.500 0.500 0.500  -0.01
N 0.000 0.000 0.500  1.68

What did we get for final energy? Answer: -0.18973; -0.20209; -0.16725; -0.14231; -0.13297; -0.20377; -0.26230; -0.27016; -0.14529; -0.29604; -0.15254; -0.10623 hartree per atom, in the order shown.